Record 1
# TbPmAlRu

A geometry-optimized TbPmAlRu structure (PBE-GGA, Alexandria via LeMat-Bulk).

Unit cell a=7.1205 b=7.1205 c=7.1205 alpha=90.00 beta=90.00 gamma=90.00
Space group F-43m (No. 216)
Inequivalent atoms, fractional coordinates:
Tb: 0.0000 0.0000 0.0000 (multiplicity 4)
Pm: 0.0000 0.0000 0.5000 (multiplicity 4)
Al: 0.2500 0.2500 0.2500 (multiplicity 4)
Ru: 0.2500 0.2500 0.7500 (multiplicity 4)

Values from the calculation:
M_tot	0.0000	μB per atom
raw total energy	-93.93	eV per cell
calculated volume	361.03	Å³ per cell
energy relative to the elements	-1.1	eV per formula unit


Record 2
# SrNd2Si

A geometry-optimized SrNd2Si structure (PBE-GGA, Alexandria via LeMat-Bulk).

Unit cell a=4.1360 b=4.1360 c=33.3088 alpha=90.00 beta=90.00 gamma=120.00
Space group R-3m (No. 166, hexagonal axes)
Inequivalent atoms, fractional coordinates:
Sr: 0.0000 0.0000 0.0000 (multiplicity 3)
Nd: 0.0000 0.0000 0.1174 (multiplicity 6)
Si: 0.0000 0.0000 0.5000 (multiplicity 3)

Values from the calculation:
M_tot	0.1024	μB per atom
raw total energy	-51.22	eV per cell
calculated volume	493.47	Å³ per cell
uncorrected formation energy	-0.108	eV per atom


Record 3
# AcGd2O

A geometry-optimized AcGd2O structure (PBE-GGA, Alexandria via LeMat-Bulk).

Unit cell a=3.3484 b=3.3484 c=9.0404 alpha=90.00 beta=90.00 gamma=90.00
Space group P4/mmm (No. 123)
Inequivalent atoms, fractional coordinates:
Ac: 0.0000 0.0000 0.0000 (multiplicity 1)
Gd: 0.5000 0.5000 0.3315 (multiplicity 2)
O: 0.0000 0.0000 0.5000 (multiplicity 1)

Values from the calculation:
M_tot	3.8180	μB per atom
raw total energy	-40.19	eV per cell
calculated volume	101.36	Å³ per cell
uncorrected formation energy	-0.740	eV per atom
energy above the lowest structure with this stoichiometry	538	meV per atom